1.
# SrCoCuPd2 PBE-GGA relaxed
data_SrCoCuPd2
_space_group_name_H-M_alt 'P 1'
_space_group_IT_number 1
_cell_length_a 4.809
_cell_length_b 4.430
_cell_length_c 4.809
_cell_angle_alpha 90.00
_cell_angle_beta 90.00
_cell_angle_gamma 90.00
loop_
_space_group_symop_operation_xyz
'x,y,z'
loop_
_atom_site_label
_atom_site_type_symbol
_atom_site_fract_x
_atom_site_fract_y
_atom_site_fract_z
_atom_site_occupancy
Sr1 Sr 0.500 0.500 0.500 1
Co1 Co 0.000 0.500 0.000 1
Cu1 Cu 0.000 0.000 0.000 1
Pd1 Pd 0.000 0.000 0.500 1
Pd2 Pd 0.500 0.000 0.000 1
# Calculated formation energy in meV per atom: 236.7

2.
# TaCoCuPd2 PBE-GGA relaxed
data_TaCoCuPd2
_space_group_name_H-M_alt 'P 1'
_space_group_IT_number 1
_cell_length_a 4.472
_cell_length_b 4.212
_cell_length_c 4.472
_cell_angle_alpha 90.00
_cell_angle_beta 90.00
_cell_angle_gamma 90.00
loop_
_space_group_symop_operation_xyz
'x,y,z'
loop_
_atom_site_label
_atom_site_type_symbol
_atom_site_fract_x
_atom_site_fract_y
_atom_site_fract_z
_atom_site_occupancy
Co1 Co 0.000 0.500 0.000 1
Cu1 Cu 0.000 0.000 0.000 1
Pd1 Pd 0.000 0.000 0.500 1
Pd2 Pd 0.500 0.000 0.000 1
Ta1 Ta 0.500 0.500 0.500 1
# Calculated formation energy in meV per atom: 1041.5

3.
# Th2CoCuPd PBE-GGA relaxed
data_Th2CoCuPd
_space_group_name_H-M_alt 'P 1'
_space_group_IT_number 1
_cell_length_a 3.928
_cell_length_b 7.760
_cell_length_c 7.401
_cell_angle_alpha 112.54
_cell_angle_beta 90.00
_cell_angle_gamma 90.00
loop_
_space_group_symop_operation_xyz
'x,y,z'
loop_
_atom_site_label
_atom_site_type_symbol
_atom_site_fract_x
_atom_site_fract_y
_atom_site_fract_z
_atom_site_occupancy
Th1 Th 0.750 0.862 0.632 1
Th2 Th 0.750 0.718 0.024 1
Th3 Th 0.250 0.138 0.368 1
Th4 Th 0.250 0.282 0.976 1
Co1 Co 0.250 0.889 0.898 1
Co2 Co 0.750 0.111 0.102 1
Cu1 Cu 0.250 0.557 0.638 1
Cu2 Cu 0.750 0.443 0.362 1
Pd1 Pd 0.250 0.680 0.314 1
Pd2 Pd 0.750 0.320 0.686 1
# Calculated formation energy in meV per atom: -450.6

4.
# Ti5Co2CuPd2 PBE-GGA relaxed
data_Ti5Co2CuPd2
_space_group_name_H-M_alt 'P 1'
_space_group_IT_number 1
_cell_length_a 3.031
_cell_length_b 10.030
_cell_length_c 10.030
_cell_angle_alpha 90.00
_cell_angle_beta 90.00
_cell_angle_gamma 90.00
loop_
_space_group_symop_operation_xyz
'x,y,z'
loop_
_atom_site_label
_atom_site_type_symbol
_atom_site_fract_x
_atom_site_fract_y
_atom_site_fract_z
_atom_site_occupancy
Ti1 Ti 0.500 0.193 0.092 1
Ti2 Ti 0.500 0.807 0.908 1
Ti3 Ti 0.500 0.092 0.807 1
Ti4 Ti 0.500 0.693 0.408 1
Ti5 Ti 0.500 0.908 0.193 1
Ti6 Ti 0.500 0.307 0.592 1
Ti7 Ti 0.500 0.592 0.693 1
Ti8 Ti 0.500 0.408 0.307 1
Ti9 Ti 0.500 0.500 0.000 1
Ti10 Ti 0.500 0.000 0.500 1
Co1 Co 0.000 0.132 0.632 1
Co2 Co 0.000 0.868 0.368 1
Co3 Co 0.000 0.632 0.868 1
Co4 Co 0.000 0.368 0.132 1
Cu1 Cu 0.000 0.000 0.000 1
Cu2 Cu 0.000 0.500 0.500 1
Pd1 Pd 0.000 0.666 0.166 1
Pd2 Pd 0.000 0.334 0.834 1
Pd3 Pd 0.000 0.166 0.334 1
Pd4 Pd 0.000 0.834 0.666 1
# Calculated formation energy in meV per atom: -215.0

5.
# TlCoCu2Pd PBE-GGA relaxed
data_TlCoCu2Pd
_space_group_name_H-M_alt 'P 1'
_space_group_IT_number 1
_cell_length_a 4.778
_cell_length_b 4.824
_cell_length_c 4.778
_cell_angle_alpha 90.00
_cell_angle_beta 90.00
_cell_angle_gamma 90.00
loop_
_space_group_symop_operation_xyz
'x,y,z'
loop_
_atom_site_label
_atom_site_type_symbol
_atom_site_fract_x
_atom_site_fract_y
_atom_site_fract_z
_atom_site_occupancy
Tl1 Tl 0.000 0.000 0.000 1
Co1 Co 0.000 0.500 0.000 1
Cu1 Cu 0.000 0.000 0.500 1
Cu2 Cu 0.500 0.000 0.000 1
Pd1 Pd 0.500 0.500 0.500 1
# Calculated formation energy in meV per atom: 1349.0

6.
# TlCoCu2Pd PBE-GGA relaxed
data_TlCoCu2Pd
_space_group_name_H-M_alt 'P 1'
_space_group_IT_number 1
_cell_length_a 4.498
_cell_length_b 4.678
_cell_length_c 4.498
_cell_angle_alpha 90.00
_cell_angle_beta 90.00
_cell_angle_gamma 90.00
loop_
_space_group_symop_operation_xyz
'x,y,z'
loop_
_atom_site_label
_atom_site_type_symbol
_atom_site_fract_x
_atom_site_fract_y
_atom_site_fract_z
_atom_site_occupancy
Tl1 Tl 0.500 0.500 0.500 1
Co1 Co 0.000 0.000 0.000 1
Cu1 Cu 0.000 0.000 0.500 1
Cu2 Cu 0.500 0.000 0.000 1
Pd1 Pd 0.000 0.500 0.000 1
# Calculated formation energy in meV per atom: 719.1

7.
# Pm2Co15Cu2 PBE-GGA relaxed
data_Pm2Co15Cu2
_space_group_name_H-M_alt 'P 1'
_space_group_IT_number 1
_cell_length_a 6.318
_cell_length_b 6.318
_cell_length_c 6.318
_cell_angle_alpha 83.62
_cell_angle_beta 83.62
_cell_angle_gamma 83.62
loop_
_space_group_symop_operation_xyz
'x,y,z'
loop_
_atom_site_label
_atom_site_type_symbol
_atom_site_fract_x
_atom_site_fract_y
_atom_site_fract_z
_atom_site_occupancy
Pm1 Pm 0.344 0.344 0.344 1
Pm2 Pm 0.656 0.656 0.656 1
Co1 Co 0.500 0.000 0.000 1
Co2 Co 0.000 0.000 0.500 1
Co3 Co 0.000 0.500 0.000 1
Co4 Co 0.000 0.714 0.286 1
Co5 Co 0.714 0.286 0.000 1
Co6 Co 0.286 0.000 0.714 1
Co7 Co 0.286 0.714 0.000 1
Co8 Co 0.714 0.000 0.286 1
Co9 Co 0.000 0.286 0.714 1
Co10 Co 0.153 0.654 0.654 1
Co11 Co 0.654 0.654 0.153 1
Co12 Co 0.654 0.153 0.654 1
Co13 Co 0.847 0.346 0.346 1
Co14 Co 0.346 0.346 0.847 1
Co15 Co 0.346 0.847 0.346 1
Cu1 Cu 0.100 0.100 0.100 1
Cu2 Cu 0.900 0.900 0.900 1
# Calculated formation energy in meV per atom: -36.1

8.
# Pm4Co2Cu5 PBE-GGA relaxed
data_Pm4Co2Cu5
_space_group_name_H-M_alt 'P 1'
_space_group_IT_number 1
_cell_length_a 4.067
_cell_length_b 6.797
_cell_length_c 7.853
_cell_angle_alpha 91.18
_cell_angle_beta 90.00
_cell_angle_gamma 90.00
loop_
_space_group_symop_operation_xyz
'x,y,z'
loop_
_atom_site_label
_atom_site_type_symbol
_atom_site_fract_x
_atom_site_fract_y
_atom_site_fract_z
_atom_site_occupancy
Pm1 Pm 0.500 0.754 0.615 1
Pm2 Pm 0.500 0.222 0.856 1
Pm3 Pm 0.500 0.246 0.385 1
Pm4 Pm 0.500 0.778 0.144 1
Co1 Co 0.000 0.064 0.633 1
Co2 Co 0.000 0.936 0.367 1
Cu1 Cu 0.000 0.571 0.352 1
Cu2 Cu 0.000 0.141 0.117 1
Cu3 Cu 0.000 0.500 0.000 1
Cu4 Cu 0.000 0.859 0.883 1
Cu5 Cu 0.000 0.429 0.648 1
# Calculated formation energy in meV per atom: -126.6

9.
# Pm8CoCu2 PBE-GGA relaxed
data_Pm8CoCu2
_space_group_name_H-M_alt 'P 1'
_space_group_IT_number 1
_cell_length_a 5.147
_cell_length_b 6.829
_cell_length_c 9.134
_cell_angle_alpha 102.19
_cell_angle_beta 106.36
_cell_angle_gamma 90.00
loop_
_space_group_symop_operation_xyz
'x,y,z'
loop_
_atom_site_label
_atom_site_type_symbol
_atom_site_fract_x
_atom_site_fract_y
_atom_site_fract_z
_atom_site_occupancy
Pm1 Pm 0.412 0.561 0.824 1
Pm2 Pm 0.662 0.972 0.323 1
Pm3 Pm 0.799 0.669 0.598 1
Pm4 Pm 0.968 0.210 0.937 1
Pm5 Pm 0.201 0.331 0.402 1
Pm6 Pm 0.338 0.028 0.677 1
Pm7 Pm 0.588 0.439 0.176 1
Pm8 Pm 0.032 0.790 0.063 1
Co1 Co 0.500 0.000 0.000 1
Cu1 Cu 0.809 0.261 0.618 1
Cu2 Cu 0.191 0.739 0.382 1
# Calculated formation energy in meV per atom: -39.5

10.
# Pm8Co2Cu PBE-GGA relaxed
data_Pm8Co2Cu
_space_group_name_H-M_alt 'P 1'
_space_group_IT_number 1
_cell_length_a 6.399
_cell_length_b 7.324
_cell_length_c 7.324
_cell_angle_alpha 108.40
_cell_angle_beta 100.25
_cell_angle_gamma 100.25
loop_
_space_group_symop_operation_xyz
'x,y,z'
loop_
_atom_site_label
_atom_site_type_symbol
_atom_site_fract_x
_atom_site_fract_y
_atom_site_fract_z
_atom_site_occupancy
Co1 Co 0.495 0.690 0.320 1
Co2 Co 0.495 0.320 0.690 1
Cu1 Cu 0.201 0.016 0.016 1
Pm1 Pm 0.605 0.348 0.073 1
Pm2 Pm 0.605 0.073 0.348 1
Pm3 Pm 0.195 0.372 0.372 1
Pm4 Pm 0.966 0.203 0.790 1
Pm5 Pm 0.966 0.790 0.203 1
Pm6 Pm 0.778 0.643 0.643 1
Pm7 Pm 0.348 0.934 0.647 1
Pm8 Pm 0.348 0.647 0.934 1
# Calculated formation energy in meV per atom: 31.1

Number 1: calculated total energy -22.1 eV/cell. Number 2: calculated total energy -28.2 eV/cell. Number 3: calculated total energy -67.0 eV/cell. Number 4: calculated total energy -140.6 eV/cell. Number 5: calculated total energy -16.1 eV/cell. Number 6: calculated total energy -19.3 eV/cell. Number 7: calculated total energy -125.0 eV/cell. Number 8: calculated total energy -55.1 eV/cell. Number 9: calculated total energy -53.7 eV/cell. Number 10: calculated total energy -56.0 eV/cell.